No. 1
Entry from the Alexandria database: a relaxed structure of OsPdO3 (PBE).

abc: 3.931 3.931 3.931
angles: 90.00 90.00 90.00
Fractional coordinates of all 5 atoms:
Os 0.000 0.000 0.000
Pd 0.500 0.500 0.500
O 0.000 0.500 0.500
O 0.500 0.000 0.500
O 0.500 0.500 0.000

Computed properties:
- SG = Pm-3m
- size of the total moment (μB per atom) = 0.972
- crystal system = cubic
- formation energy (no corrections) (meV per atom) = 937

=====

No. 2
Entry from the Alexandria database: a relaxed structure of LaBe2Cr (PBE).

abc: 2.794 2.794 7.524
angles: 90.00 90.00 90.00
Fractional coordinates of all 4 atoms:
La 0.000 0.000 0.000
Be 0.000 0.000 0.460
Be 0.500 0.500 0.325
Cr 0.500 0.500 0.655

Computed properties:
- SG = P4mm
- size of the total moment (μB per atom) = 0.001
- energy of formation from the pure elements (meV/atom) = 564
- crystal system = tetragonal

=====

No. 3
Entry from the Alexandria database: a relaxed structure of Sc2PtO (PBE).

abc: 5.748 5.748 5.748
angles: 116.63 116.63 95.94
Fractional coordinates of all 8 atoms:
Sc 0.048 0.625 0.923
Sc 0.375 0.298 0.423
Sc 0.702 0.125 0.077
Sc 0.875 0.952 0.577
Pt 0.250 0.750 0.500
Pt 0.500 0.500 0.000
O 0.000 0.000 0.000
O 0.750 0.250 0.500

Computed properties:
- SG = I-42d
- size of the total moment (μB per atom) = 0.000
- crystal system = tetragonal
- formation energy (no corrections) (meV per atom) = -1921

=====

No. 4
Entry from the Alexandria database: a relaxed structure of InNiSe2 (PBE).

abc: 4.110 4.110 7.486
angles: 90.00 90.00 127.52
Fractional coordinates of all 4 atoms:
In 0.000 0.000 0.000
Ni 0.000 0.000 0.500
Se 0.500 0.500 0.304
Se 0.500 0.500 0.696

Computed properties:
- SG = Cmmm
- size of the total moment (μB per atom) = 0.000
- crystal system = orthorhombic
- formation energy (no corrections) (meV per atom) = -27

=====

No. 5
Entry from the Alexandria database: a relaxed structure of Er2FeAgC (PBE).

abc: 4.949 4.949 3.662
angles: 90.00 90.00 90.00
Fractional coordinates of all 5 atoms:
Er 0.000 0.500 0.000
Er 0.500 0.000 0.000
Fe 0.000 0.000 0.500
Ag 0.500 0.500 0.500
C 0.000 0.000 0.000

Computed properties:
- SG = P4/mmm
- size of the total moment (μB per atom) = 0.014
- energy of formation from the pure elements (meV/atom) = -344
- crystal system = tetragonal

=====

No. 6
Entry from the Alexandria database: a relaxed structure of CsInO2 (PBE).

abc: 8.009 8.009 8.009
angles: 26.56 26.56 26.56
Fractional coordinates of all 4 atoms:
Cs 0.000 0.000 0.000
In 0.509 0.509 0.509
O 0.143 0.143 0.143
O 0.594 0.594 0.594

Computed properties:
- SG = R3m
- size of the total moment (μB per atom) = 0.000
- crystal system = trigonal
- formation energy (no corrections) (meV per atom) = -1157

=====

No. 7
Entry from the Alexandria database: a relaxed structure of Rb2NiHPd (PBE).

abc: 6.416 6.416 4.644
angles: 90.00 90.00 90.00
Fractional coordinates of all 5 atoms:
Rb 0.000 0.500 0.000
Rb 0.500 0.000 0.000
Ni 0.000 0.000 0.500
H 0.500 0.500 0.500
Pd 0.000 0.000 0.000

Computed properties:
- SG = P4/mmm
- size of the total moment (μB per atom) = 0.248
- DFT total energy (eV per atom) = -2.65
- crystal system = tetragonal

=====

No. 8
Entry from the Alexandria database: a relaxed structure of LiNpSi2Pt2 (PBE).

abc: 4.221 4.221 6.592
angles: 90.00 90.00 120.00
Fractional coordinates of all 6 atoms:
Li 0.000 0.000 0.000
Np 0.000 0.000 0.500
Si 0.333 0.667 0.805
Si 0.667 0.333 0.195
Pt 0.333 0.667 0.202
Pt 0.667 0.333 0.798

Computed properties:
- SG = P-3m1
- size of the total moment (μB per atom) = 0.645
- crystal system = trigonal
- formation energy (no corrections) (meV per atom) = -679

=====

What are the DOS at the Fermi energy values for these records? In order: 1.86, 3.34, 0.72, 3.96, 2.34, 4.17, 6.65, 12.60 states/eV/cell.